*a*
# BaLa2AgIr PBE-GGA relaxed
# Crystal system   tetragonal
data_BaLa2AgIr
_cell_length_a 5.513
_cell_length_b 5.513
_cell_length_c 5.634
_cell_angle_alpha 90.00
_cell_angle_beta 90.00
_cell_angle_gamma 90.00
_space_group_name_H-M_alt 'P 4/m m m'
_space_group_IT_number 123
_space_group_name_Hall '-P 4 2'
loop_
_atom_site_label
_atom_site_fract_x
_atom_site_fract_y
_atom_site_fract_z
Ba1 0.000 0.000 0.000
La1 0.000 0.500 0.500
Ag1 0.500 0.500 0.000
Ir1 0.500 0.500 0.500

=====

*b*
# BaLa2AgIr PBE-GGA relaxed
# Crystal system   tetragonal
data_BaLa2AgIr
_cell_length_a 5.520
_cell_length_b 5.520
_cell_length_c 6.352
_cell_angle_alpha 90.00
_cell_angle_beta 90.00
_cell_angle_gamma 90.00
_space_group_name_H-M_alt 'P 4/m m m'
_space_group_IT_number 123
_space_group_name_Hall '-P 4 2'
loop_
_atom_site_label
_atom_site_fract_x
_atom_site_fract_y
_atom_site_fract_z
Ba1 0.000 0.000 0.000
La1 0.000 0.500 0.500
Ag1 0.500 0.500 0.000
Ir1 0.000 0.000 0.500

=====

Which of them is most stable? Easy: *b*.